VASP calculation (PBE) on Sc2Cu2P after structural relaxation.

Cell lengths 6.4826, 6.4826, 3.8833 Å; angles 90.00, 90.00, 90.00 degrees
Fractional positions:
Sc 0.6709 0.8291 0.5000
Sc 0.1709 0.6709 0.5000
Sc 0.3291 0.1709 0.5000
Sc 0.8291 0.3291 0.5000
P 0.5000 0.5000 0.0000
P 0.0000 0.0000 0.0000
Cu 0.3692 0.8692 0.0000
Cu 0.1308 0.3692 0.0000
Cu 0.8692 0.6308 0.0000
Cu 0.6308 0.1308 0.0000

## Properties
The calculation puts the energy of formation at -451 meV per atom. The energy comes out at -5.7038 eV/atom. As for the space group: No. 127.